No. 1
5
Lattice="4.4824 0.0000 0.0000 0.0000 4.4824 0.0000 0.0000 0.0000 4.1561" Properties=species:S:1:pos:R:3 comment="Zr2NbRhN (GGA-PBE, relaxed)" final_energy_ev_per_atom=-9.3584 m_tot_mub_per_cell=0.00 formation_energy_uncorrected_kj_per_mol_fu=-381 pbc="T T T"
Zr 0.0000 2.2412 0.0000
Zr 2.2412 0.0000 0.0000
Nb 0.0000 0.0000 2.0780
Rh 2.2412 2.2412 2.0780
N 0.0000 0.0000 0.0000

No. 2
8
Lattice="4.7989 0.0000 0.0000 -0.1382 5.3948 0.0000 -2.0233 -0.6601 5.0493" Properties=species:S:1:pos:R:3 comment="Nb6RuN (GGA-PBE, relaxed)" final_energy_ev_per_atom=-10.0953 m_tot_mub_per_cell=0.00 formation_energy_uncorrected_kj_per_mol_fu=-265 pbc="T T T"
Nb -0.0263 1.4497 0.7650
Nb -0.0263 4.2844 2.2180
Nb 0.4042 1.6612 3.7556
Nb 2.2332 3.0736 1.2937
Nb 2.6638 0.4503 2.8313
Nb 2.6638 3.2851 4.2843
Ru 2.3995 0.0000 0.0000
N -1.0807 2.3674 2.5246

No. 3
10
Lattice="6.5936 0.0000 0.0000 0.0000 6.5936 0.0000 0.0000 0.0000 2.8066" Properties=species:S:1:pos:R:3 comment="Nb2RuN2 (GGA-PBE, relaxed)" final_energy_ev_per_atom=-8.9606 m_tot_mub_per_cell=0.00 formation_energy_uncorrected_kj_per_mol_fu=122 pbc="T T T"
Nb 0.9928 2.3040 0.0000
Nb 2.3040 5.6008 0.0000
Nb 4.2896 0.9928 0.0000
Nb 5.6008 4.2896 0.0000
Ru 0.0000 0.0000 0.0000
Ru 3.2968 3.2968 0.0000
N 0.8634 4.1602 1.4033
N 2.4335 0.8634 1.4033
N 4.1602 5.7303 1.4033
N 5.7303 2.4335 1.4033

No. 4
5
Lattice="-1.7325 1.7325 5.5982 1.7325 -1.7325 5.5982 1.7325 1.7325 -5.5982" Properties=species:S:1:pos:R:3 comment="Nb2RuN2 (GGA-PBE, relaxed)" final_energy_ev_per_atom=-9.4063 m_tot_mub_per_cell=0.00 formation_energy_uncorrected_kj_per_mol_fu=-93 pbc="T T T"
Nb 0.0000 0.0000 1.6665
Nb 0.0000 0.0000 9.5298
Ru 0.0000 0.0000 5.5982
N 1.7325 0.0000 2.7991
N 0.0000 1.7325 2.7991

No. 5
10
Lattice="4.7710 -3.5546 0.0000 4.7710 3.5546 0.0000 -1.4400 0.0000 4.8912" Properties=species:S:1:pos:R:3 comment="Nb6Ru3N (GGA-PBE, relaxed)" final_energy_ev_per_atom=-9.8175 m_tot_mub_per_cell=0.00 formation_energy_uncorrected_kj_per_mol_fu=-155 pbc="T T T"
Nb 2.8428 2.0674 3.4130
Nb 0.6723 0.0000 4.1463
Nb 5.2591 2.0674 1.4781
Nb 2.8428 -2.0674 3.4130
Nb 7.4296 0.0000 0.7449
Nb 5.2591 -2.0674 1.4781
Ru 2.8113 0.0000 1.7886
Ru 4.7710 0.0000 0.0000
Ru 5.2906 0.0000 3.1026
N -0.7200 0.0000 2.4456

No. 6
5
Lattice="4.7793 0.0000 0.0000 0.0000 4.7793 0.0000 0.0000 0.0000 3.6212" Properties=species:S:1:pos:R:3 comment="NbRuS2N (GGA-PBE, relaxed)" final_energy_ev_per_atom=-6.7261 m_tot_mub_per_cell=1.81 formation_energy_uncorrected_kj_per_mol_fu=221 pbc="T T T"
Nb 0.0000 0.0000 0.0000
Ru 2.3897 2.3897 1.8106
S 0.0000 2.3897 1.8106
S 2.3897 0.0000 1.8106
N 2.3897 2.3897 0.0000

No. 7
5
Lattice="4.9083 0.0000 0.0000 0.0000 4.9083 0.0000 0.0000 0.0000 3.8881" Properties=species:S:1:pos:R:3 comment="NbRuS2N (GGA-PBE, relaxed)" final_energy_ev_per_atom=-6.5924 m_tot_mub_per_cell=3.97 formation_energy_uncorrected_kj_per_mol_fu=286 pbc="T T T"
Nb 0.0000 0.0000 0.0000
Ru 2.4542 2.4542 1.9441
S 0.0000 2.4542 0.0000
S 2.4542 0.0000 0.0000
N 0.0000 0.0000 1.9441

No. 8
5
Lattice="5.1813 0.0000 0.0000 0.0000 5.1813 0.0000 0.0000 0.0000 3.8805" Properties=species:S:1:pos:R:3 comment="Nb2SbRuN (GGA-PBE, relaxed)" final_energy_ev_per_atom=-6.3454 m_tot_mub_per_cell=0.00 formation_energy_uncorrected_kj_per_mol_fu=978 pbc="T T T"
Nb 0.0000 2.5906 0.0000
Nb 2.5906 0.0000 0.0000
Sb 0.0000 0.0000 0.0000
Ru 2.5906 2.5906 1.9403
N 0.0000 0.0000 1.9403

No. 9
5
Lattice="4.2121 0.0000 0.0000 0.0000 4.2121 0.0000 0.0000 0.0000 4.2459" Properties=species:S:1:pos:R:3 comment="Ta2NbRuN (GGA-PBE, relaxed)" final_energy_ev_per_atom=-10.7312 m_tot_mub_per_cell=0.00 formation_energy_uncorrected_kj_per_mol_fu=-220 pbc="T T T"
Ta 0.0000 2.1061 0.0000
Ta 2.1061 0.0000 0.0000
Nb 0.0000 0.0000 2.1229
Ru 2.1061 2.1061 2.1229
N 0.0000 0.0000 0.0000

No. 10
5
Lattice="5.0012 0.0000 0.0000 0.0000 5.0012 0.0000 0.0000 0.0000 3.6542" Properties=species:S:1:pos:R:3 comment="Ta2NbRuN (GGA-PBE, relaxed)" final_energy_ev_per_atom=-9.1717 m_tot_mub_per_cell=0.00 formation_energy_uncorrected_kj_per_mol_fu=532 pbc="T T T"
Ta 0.0000 2.5006 0.0000
Ta 2.5006 0.0000 0.0000
Nb 0.0000 0.0000 1.8271
Ru 2.5006 2.5006 0.0000
N 2.5006 2.5006 1.8271

No. 11
5
Lattice="5.3802 0.0000 0.0000 0.0000 5.3802 0.0000 0.0000 0.0000 3.6456" Properties=species:S:1:pos:R:3 comment="NbTe2RuN (GGA-PBE, relaxed)" final_energy_ev_per_atom=-6.2780 m_tot_mub_per_cell=2.15 formation_energy_uncorrected_kj_per_mol_fu=247 pbc="T T T"
Nb 0.0000 0.0000 0.0000
Te 0.0000 2.6901 1.8228
Te 2.6901 0.0000 1.8228
Ru 2.6901 2.6901 1.8228
N 2.6901 2.6901 0.0000

No. 12
5
Lattice="3.9052 0.0000 0.0000 0.0000 3.9052 0.0000 0.0000 0.0000 5.6057" Properties=species:S:1:pos:R:3 comment="NbTeRuN2 (GGA-PBE, relaxed)" final_energy_ev_per_atom=-6.7531 m_tot_mub_per_cell=1.99 formation_energy_uncorrected_kj_per_mol_fu=518 pbc="T T T"
Nb 0.0000 0.0000 0.0000
Te 1.9526 1.9526 0.0000
Ru 1.9526 1.9526 2.8028
N 0.0000 1.9526 2.8028
N 1.9526 0.0000 2.8028